1.
Here is a relaxed structure of Cs2TlCl from Alexandria via LeMat-Bulk. Energies are from PBE.

CIF file:
```
data_Cs2TlCl
_cell_length_a 9.167
_cell_length_b 9.167
_cell_length_c 9.167
_cell_angle_alpha 90.00
_cell_angle_beta 90.00
_cell_angle_gamma 90.00
_space_group_name_H-M_alt 'F m -3 m'
_space_group_IT_number 225
_space_group_name_Hall '-F 4 2 3'
loop_
_atom_site_label
_atom_site_type_symbol
_atom_site_fract_x
_atom_site_fract_y
_atom_site_fract_z
Cs1 Cs 0.250 0.250 0.250
Tl1 Tl 0.000 0.000 0.000
Cl1 Cl 0.000 0.000 0.500
```

Results
- crystal system = cubic
- Fermi-level density of states (states/eV/atom) = 1.76
- size of the total moment (μB per cell) = 8.0
- formation energy (no corrections) (eV/atom) = -0.61
- E above lowest polymorph (eV per atom) = 0.2604
- electronic total energy (eV per cell) = -33.5

2.
Here is a relaxed structure of Cs2TlCl from Alexandria via LeMat-Bulk. Energies are from PBE.

CIF file:
```
data_Cs2TlCl
_cell_length_a 4.180
_cell_length_b 4.180
_cell_length_c 10.203
_cell_angle_alpha 90.00
_cell_angle_beta 90.00
_cell_angle_gamma 90.00
_space_group_name_H-M_alt 'P 4/m m m'
_space_group_IT_number 123
_space_group_name_Hall '-P 4 2'
loop_
_atom_site_label
_atom_site_type_symbol
_atom_site_fract_x
_atom_site_fract_y
_atom_site_fract_z
Cs1 Cs 0.000 0.000 0.203
Tl1 Tl 0.500 0.500 0.500
Cl1 Cl 0.500 0.500 0.000
```

Results
- crystal system = tetragonal
- Fermi-level density of states (states/eV/atom) = 0.78
- size of the total moment (μB per cell) = 0.5
- formation energy (no corrections) (eV/atom) = -0.87
- E above lowest polymorph (eV per atom) = 0.0000
- electronic total energy (eV per cell) = -9.4

3.
Here is a relaxed structure of Cs2TlCl2 from Alexandria via LeMat-Bulk. Energies are from PBE.

CIF file:
```
data_Cs2TlCl2
_cell_length_a 10.057
_cell_length_b 10.057
_cell_length_c 3.972
_cell_angle_alpha 90.00
_cell_angle_beta 90.00
_cell_angle_gamma 90.00
_space_group_name_H-M_alt 'P 4/m b m'
_space_group_IT_number 127
_space_group_name_Hall '-P 4 2ab'
loop_
_atom_site_label
_atom_site_type_symbol
_atom_site_fract_x
_atom_site_fract_y
_atom_site_fract_z
Cs1 Cs 0.145 0.355 0.000
Tl1 Tl 0.000 0.000 0.000
Cl1 Cl 0.150 0.650 0.500
```

Results
- crystal system = tetragonal
- Fermi-level density of states (states/eV/atom) = 0.58
- size of the total moment (μB per cell) = 0.0
- formation energy (no corrections) (eV/atom) = -1.21
- E above lowest polymorph (eV per atom) = 0.0000
- electronic total energy (eV per cell) = -27.6

4.
Here is a relaxed structure of CsTl2Cl8 from Alexandria via LeMat-Bulk. Energies are from PBE.

CIF file:
```
data_CsTl2Cl8
_cell_length_a 14.872
_cell_length_b 6.326
_cell_length_c 9.360
_cell_angle_alpha 90.00
_cell_angle_beta 111.36
_cell_angle_gamma 90.00
_space_group_name_H-M_alt 'C 1 2/m 1'
_space_group_IT_number 12
loop_
_space_group_symop_operation_xyz
'x,y,z'
'-x,-y,-z'
'-x,y,-z'
'x,-y,z'
'x+1/2,y+1/2,z'
'-x+1/2,-y+1/2,-z'
'-x+1/2,y+1/2,-z'
'x+1/2,-y+1/2,z'
loop_
_atom_site_label
_atom_site_type_symbol
_atom_site_fract_x
_atom_site_fract_y
_atom_site_fract_z
Cs1 Cs 0.000 0.000 0.000
Tl1 Tl 0.211 0.000 0.666
Cl1 Cl 0.108 0.267 0.735
Cl2 Cl 0.124 0.500 0.147
Cl3 Cl 0.192 0.000 0.395
```

Results
- crystal system = monoclinic
- Fermi-level density of states (states/eV/atom) = 0.49
- size of the total moment (μB per cell) = 0.0
- formation energy (no corrections) (eV/atom) = -0.79
- E above lowest polymorph (eV per atom) = 0.0000
- electronic total energy (eV per cell) = -58.0

5.
Here is a relaxed structure of Cs3TlCl4 from Alexandria via LeMat-Bulk. Energies are from PBE.

CIF file:
```
data_Cs3TlCl4
_cell_length_a 8.486
_cell_length_b 9.823
_cell_length_c 8.493
_cell_angle_alpha 90.00
_cell_angle_beta 109.55
_cell_angle_gamma 90.00
_space_group_name_H-M_alt 'P 1 2/c 1'
_space_group_IT_number 13
loop_
_space_group_symop_operation_xyz
'x,y,z'
'-x,-y,-z'
'-x,y,-z+1/2'
'x,-y,z+1/2'
loop_
_atom_site_label
_atom_site_type_symbol
_atom_site_fract_x
_atom_site_fract_y
_atom_site_fract_z
Cs1 Cs 0.000 0.123 0.250
Cs2 Cs 0.000 0.370 0.750
Cs3 Cs 0.500 0.373 0.250
Tl1 Tl 0.500 0.119 0.750
Cl1 Cl 0.253 0.368 0.507
Cl2 Cl 0.268 0.114 0.999
```

Results
- crystal system = monoclinic
- Fermi-level density of states (states/eV/atom) = 0.00
- size of the total moment (μB per cell) = 0.0
- formation energy (no corrections) (eV/atom) = -1.73
- E above lowest polymorph (eV per atom) = 0.0000
- electronic total energy (eV per cell) = -52.2

6.
Here is a relaxed structure of Cs3Tl2Cl8 from Alexandria via LeMat-Bulk. Energies are from PBE.

CIF file:
```
data_Cs3Tl2Cl8
_cell_length_a 7.7633
_cell_length_b 7.7633
_cell_length_c 29.4769
_cell_angle_alpha 90.00
_cell_angle_beta 90.00
_cell_angle_gamma 120.00
_space_group_name_H-M_alt 'R -3 m'
_space_group_IT_number 166
_space_group_name_Hall '-R 3 2"'
loop_
_atom_site_label
_atom_site_type_symbol
_atom_site_fract_x
_atom_site_fract_y
_atom_site_fract_z
Cs1 Cs 0.0000 0.0000 0.0000
Cs2 Cs 0.0000 0.0000 0.2069
Tl1 Tl 0.0000 0.0000 0.4097
Cl1 Cl 0.0000 0.0000 0.3225
Cl2 Cl 0.0306 0.5153 0.7704
```

Results
- crystal system = trigonal
- Fermi-level density of states (states/eV/atom) = 0.30
- size of the total moment (μB per cell) = 0.0
- formation energy (no corrections) (eV/atom) = -1.30
- electronic total energy (eV per cell) = -117.0

7.
Here is a relaxed structure of Cs4TlCl6 from Alexandria via LeMat-Bulk. Energies are from PBE.

CIF file:
```
data_Cs4TlCl6
_cell_length_a 9.511
_cell_length_b 9.511
_cell_length_c 9.769
_cell_angle_alpha 90.00
_cell_angle_beta 90.00
_cell_angle_gamma 90.00
_space_group_name_H-M_alt 'P 4/m n c'
_space_group_IT_number 128
_space_group_name_Hall '-P 4 2n'
loop_
_atom_site_label
_atom_site_type_symbol
_atom_site_fract_x
_atom_site_fract_y
_atom_site_fract_z
Cs1 Cs 0.169 0.331 0.250
Tl1 Tl 0.000 0.000 0.000
Cl1 Cl 0.000 0.000 0.288
Cl2 Cl 0.096 0.702 0.000
```

Results
- crystal system = tetragonal
- Fermi-level density of states (states/eV/atom) = 0.56
- size of the total moment (μB per cell) = 0.0
- formation energy (no corrections) (eV/atom) = -1.62
- electronic total energy (eV per cell) = -69.4

8.
Here is a relaxed structure of Cs5TlCl6 from Alexandria via LeMat-Bulk. Energies are from PBE.

CIF file:
```
data_Cs5TlCl6
_cell_length_a 8.559
_cell_length_b 14.820
_cell_length_c 8.546
_cell_angle_alpha 90.00
_cell_angle_beta 109.54
_cell_angle_gamma 90.00
_space_group_name_H-M_alt 'C 1 2/m 1'
_space_group_IT_number 12
loop_
_space_group_symop_operation_xyz
'x,y,z'
'-x,-y,-z'
'-x,y,-z'
'x,-y,z'
'x+1/2,y+1/2,z'
'-x+1/2,-y+1/2,-z'
'-x+1/2,y+1/2,-z'
'x+1/2,-y+1/2,z'
loop_
_atom_site_label
_atom_site_type_symbol
_atom_site_fract_x
_atom_site_fract_y
_atom_site_fract_z
Cs1 Cs 0.000 0.000 0.000
Cs2 Cs 0.000 0.167 0.500
Cs3 Cs 0.000 0.333 0.000
Tl1 Tl 0.000 0.500 0.500
Cl1 Cl 0.239 0.500 0.258
Cl2 Cl 0.241 0.340 0.744
```

Results
- crystal system = monoclinic
- Fermi-level density of states (states/eV/atom) = 0.00
- size of the total moment (μB per cell) = 0.0
- formation energy (no corrections) (eV/atom) = -1.81
- electronic total energy (eV per cell) = -78.8

9.
Here is a relaxed structure of CsTl2Cl from Alexandria via LeMat-Bulk. Energies are from PBE.

CIF file:
```
data_CsTl2Cl
_cell_length_a 8.475
_cell_length_b 8.475
_cell_length_c 8.475
_cell_angle_alpha 90.00
_cell_angle_beta 90.00
_cell_angle_gamma 90.00
_space_group_name_H-M_alt 'F m -3 m'
_space_group_IT_number 225
_space_group_name_Hall '-F 4 2 3'
loop_
_atom_site_label
_atom_site_type_symbol
_atom_site_fract_x
_atom_site_fract_y
_atom_site_fract_z
Cs1 Cs 0.000 0.000 0.000
Tl1 Tl 0.250 0.250 0.250
Cl1 Cl 0.000 0.000 0.500
```

Results
- crystal system = cubic
- Fermi-level density of states (states/eV/atom) = 1.47
- size of the total moment (μB per cell) = 0.0
- formation energy (no corrections) (eV/atom) = -0.24
- E above lowest polymorph (eV per atom) = 0.4509
- electronic total energy (eV per cell) = -33.5

10.
Here is a relaxed structure of Cs12Tl3Cl5 from Alexandria via LeMat-Bulk. Energies are from PBE.

CIF file:
```
data_Cs12Tl3Cl5
_cell_length_a 21.856
_cell_length_b 21.856
_cell_length_c 21.856
_cell_angle_alpha 90.00
_cell_angle_beta 90.00
_cell_angle_gamma 90.00
_space_group_name_H-M_alt 'I a -3 d'
_space_group_IT_number 230
_space_group_name_Hall '-I 4bd 2c 3'
loop_
_atom_site_label
_atom_site_type_symbol
_atom_site_fract_x
_atom_site_fract_y
_atom_site_fract_z
Cs1 Cs 0.025 0.058 0.650
Tl1 Tl 0.000 0.250 0.125
Cl1 Cl 0.000 0.000 0.000
Cl2 Cl 0.000 0.250 0.375
```

Results
- crystal system = cubic
- Fermi-level density of states (states/eV/atom) = 0.76
- size of the total moment (μB per cell) = 54.5
- formation energy (no corrections) (eV/atom) = -0.89
- electronic total energy (eV per cell) = -355.1

11.
Here is a relaxed structure of Cs3Tl2Cl9 from Alexandria via LeMat-Bulk. Energies are from PBE.

CIF file:
```
data_Cs3Tl2Cl9
_cell_length_a 7.5840
_cell_length_b 7.5840
_cell_length_c 9.4560
_cell_angle_alpha 90.00
_cell_angle_beta 90.00
_cell_angle_gamma 120.00
_space_group_name_H-M_alt 'P -3 m 1'
_space_group_IT_number 164
_space_group_name_Hall '-P 3 2"'
loop_
_atom_site_label
_atom_site_type_symbol
_atom_site_fract_x
_atom_site_fract_y
_atom_site_fract_z
Cs1 Cs 0.0000 0.0000 0.0000
Cs2 Cs 0.3333 0.6667 0.3432
Tl1 Tl 0.3333 0.6667 0.8172
Cl1 Cl 0.0000 0.5000 0.0000
Cl2 Cl 0.1673 0.3346 0.6809
```

Results
- crystal system = trigonal
- size of the total moment (μB per cell) = 0.0
- formation energy (no corrections) (eV/atom) = -1.29
- E above lowest polymorph (eV per atom) = 0.0171
- electronic total energy (eV per cell) = -42.0

12.
Here is a relaxed structure of Cs3TlCl8 from Alexandria via LeMat-Bulk. Energies are from PBE.

CIF file:
```
data_Cs3TlCl8
_cell_length_a 7.791
_cell_length_b 7.791
_cell_length_c 15.492
_cell_angle_alpha 90.00
_cell_angle_beta 90.00
_cell_angle_gamma 90.00
_space_group_name_H-M_alt 'I 4/m m m'
_space_group_IT_number 139
_space_group_name_Hall '-I 4 2'
loop_
_atom_site_label
_atom_site_type_symbol
_atom_site_fract_x
_atom_site_fract_y
_atom_site_fract_z
Cs1 Cs 0.000 0.000 0.000
Cs2 Cs 0.000 0.500 0.250
Tl1 Tl 0.000 0.000 0.500
Cl1 Cl 0.208 0.208 0.394
```

Results
- crystal system = tetragonal
- Fermi-level density of states (states/eV/atom) = 1.26
- size of the total moment (μB per cell) = 4.3
- formation energy (no corrections) (eV/atom) = -1.01
- electronic total energy (eV per cell) = -63.6